Entry from Alexandria: an optimized crystal structure of Tm2Tl3In3 (PBE).

Cell lengths 4.680, 4.719, 9.317 Å; angles 90.00, 90.00, 90.00 degrees
Space group Pmmm (No. 47)
Asymmetric unit:
Tm1 0.000 0.000 0.248 (multiplicity 2)
Tl1 0.000 0.500 0.500 (multiplicity 1)
Tl2 0.500 0.000 0.000 (multiplicity 1)
Tl3 0.500 0.000 0.500 (multiplicity 1)
In1 0.000 0.500 0.000 (multiplicity 1)
In2 0.500 0.500 0.246 (multiplicity 2)

Properties
For the energy, the calculation gives -3.29 eV/atom. The mass density is 10.452 g/cm³.

Entry from Alexandria: an optimized crystal structure of Tm7TlIn5 (PBE).

Cell lengths 6.470, 10.443, 10.702 Å; angles 90.00, 90.00, 90.00 degrees
Space group Imm2 (No. 44)
Asymmetric unit:
Tm1 0.000 0.000 0.000 (multiplicity 2)
Tm2 0.000 0.000 0.332 (multiplicity 2)
Tm3 0.000 0.317 0.124 (multiplicity 4)
Tm4 0.000 0.329 0.635 (multiplicity 4)
Tm5 0.000 0.500 0.368 (multiplicity 2)
Tl1 0.000 0.000 0.654 (multiplicity 2)
In1 0.000 0.500 0.884 (multiplicity 2)
In2 0.244 0.243 0.881 (multiplicity 8)

Properties
For the energy, the calculation gives -3.85 eV/atom. The mass density is 9.006 g/cm³.

Entry from Alexandria: an optimized crystal structure of Tm6TlIn6 (PBE).

Cell lengths 6.2837, 6.2837, 10.4208 Å; angles 90.00, 90.00, 120.00 degrees
Space group P6/mmm (No. 191)
Asymmetric unit:
Tm1 0.0000 0.0000 0.1734 (multiplicity 2)
Tm2 0.3333 0.6667 0.0000 (multiplicity 2)
Tm3 0.3333 0.6667 0.5000 (multiplicity 2)
Tl1 0.0000 0.0000 0.5000 (multiplicity 1)
In1 0.0000 0.5000 0.2506 (multiplicity 6)

Properties
For the energy, the calculation gives -3.77 eV/atom. The mass density is 8.886 g/cm³.

Entry from Alexandria: an optimized crystal structure of Tm7TlIn2 (PBE).

Cell lengths 11.095, 11.095, 11.095 Å; angles 90.00, 90.00, 90.00 degrees
Space group Fm-3m (No. 225)
Asymmetric unit:
Tm1 0.000 0.000 0.000 (multiplicity 4)
Tm2 0.000 0.000 0.246 (multiplicity 24)
Tl1 0.000 0.000 0.500 (multiplicity 4)
In1 0.250 0.250 0.250 (multiplicity 8)

Properties
For the energy, the calculation gives -3.31 eV/atom. The mass density is 7.862 g/cm³.

Entry from Alexandria: an optimized crystal structure of Tm3Tl2In (PBE).

Cell lengths 3.615, 3.615, 12.068 Å; angles 90.00, 90.00, 90.00 degrees
Space group P4/mmm (No. 123)
Asymmetric unit:
Tm1 0.000 0.000 0.000 (multiplicity 1)
Tm2 0.000 0.000 0.336 (multiplicity 2)
Tl1 0.500 0.500 0.167 (multiplicity 2)
In1 0.500 0.500 0.500 (multiplicity 1)

Properties
For the energy, the calculation gives -3.82 eV/atom. The mass density is 10.848 g/cm³.

Entry from Alexandria: an optimized crystal structure of Tm4TlIn3 (PBE).

Cell lengths 3.523, 3.523, 16.671 Å; angles 90.00, 90.00, 90.00 degrees
Space group P4/mmm (No. 123)
Asymmetric unit:
Tm1 0.000 0.000 0.125 (multiplicity 2)
Tm2 0.000 0.000 0.374 (multiplicity 2)
Tl1 0.500 0.500 0.500 (multiplicity 1)
In1 0.500 0.500 0.000 (multiplicity 1)
In2 0.500 0.500 0.250 (multiplicity 2)

Properties
For the energy, the calculation gives -3.95 eV/atom. The mass density is 9.826 g/cm³. As for the energy above the most stable polymorph in this dataset: 0 meV/atom.

Entry from Alexandria: an optimized crystal structure of Tm5Tl4In (PBE).

Cell lengths 3.695, 3.695, 19.297 Å; angles 90.00, 90.00, 90.00 degrees
Space group P4/mmm (No. 123)
Asymmetric unit:
Tm1 0.000 0.000 0.000 (multiplicity 1)
Tm2 0.000 0.000 0.201 (multiplicity 2)
Tm3 0.000 0.000 0.402 (multiplicity 2)
Tl1 0.500 0.500 0.101 (multiplicity 2)
Tl2 0.500 0.500 0.302 (multiplicity 2)
In1 0.500 0.500 0.500 (multiplicity 1)

Properties
For the energy, the calculation gives -3.78 eV/atom. The mass density is 11.202 g/cm³.

Entry from Alexandria: an optimized crystal structure of TmTlIn4 (PBE).

Cell lengths 8.661, 8.661, 8.661 Å; angles 90.00, 90.00, 90.00 degrees
Space group F-43m (No. 216)
Asymmetric unit:
Tm1 0.000 0.000 0.000 (multiplicity 4)
Tl1 0.250 0.250 0.250 (multiplicity 4)
In1 0.125 0.125 0.625 (multiplicity 16)

Properties
For the energy, the calculation gives -3.00 eV/atom. The mass density is 8.513 g/cm³.

Entry from Alexandria: an optimized crystal structure of Tm6TlIn5 (PBE).

Cell lengths 6.323, 10.856, 9.877 Å; angles 90.00, 101.85, 90.00 degrees
Space group C2/m (No. 12)
Asymmetric unit:
Tm1 0.248 0.000 0.249 (multiplicity 4)
Tm2 0.249 0.167 0.749 (multiplicity 8)
Tl1 0.000 0.500 0.000 (multiplicity 2)
In1 0.000 0.000 0.500 (multiplicity 2)
In2 0.000 0.168 0.000 (multiplicity 4)
In3 0.000 0.335 0.500 (multiplicity 4)

Properties
For the energy, the calculation gives -3.88 eV/atom. The mass density is 8.970 g/cm³. As for the energy above the most stable polymorph in this dataset: 93 meV/atom.

Entry from Alexandria: an optimized crystal structure of Tm4Tl5In (PBE).

Cell lengths 17.251, 4.890, 6.506 Å; angles 90.00, 105.09, 90.00 degrees
Space group C2/m (No. 12)
Asymmetric unit:
Tm1 0.087 0.000 0.335 (multiplicity 4)
Tm2 0.199 0.500 0.119 (multiplicity 4)
Tl1 0.000 0.500 0.500 (multiplicity 2)
Tl2 0.106 0.000 0.845 (multiplicity 4)
Tl3 0.205 0.500 0.612 (multiplicity 4)
In1 0.000 0.500 0.000 (multiplicity 2)

Properties
For the energy, the calculation gives -3.51 eV/atom. The mass density is 11.360 g/cm³. As for the energy above the most stable polymorph in this dataset: 0 meV/atom.

Entry from Alexandria: an optimized crystal structure of Tm3TlIn2 (PBE).

Cell lengths 3.610, 3.610, 11.980 Å; angles 90.00, 90.00, 90.00 degrees
Space group P4/mmm (No. 123)
Asymmetric unit:
Tm1 0.000 0.000 0.000 (multiplicity 1)
Tm2 0.000 0.000 0.330 (multiplicity 2)
Tl1 0.500 0.500 0.500 (multiplicity 1)
In1 0.500 0.500 0.166 (multiplicity 2)

Properties
For the energy, the calculation gives -3.93 eV/atom. The mass density is 10.009 g/cm³.

Entry from Alexandria: an optimized crystal structure of Tm6Tl8In (PBE).

Cell lengths 8.8090, 8.8090, 19.4570 Å; angles 90.00, 90.00, 120.00 degrees
Space group R-3 (No. 148, hexagonal axes)
Asymmetric unit:
Tm1 0.0177 0.3057 0.2215 (multiplicity 18)
Tl1 0.0000 0.0000 0.1361 (multiplicity 6)
Tl2 0.0093 0.3678 0.7134 (multiplicity 18)
In1 0.0000 0.0000 0.5000 (multiplicity 3)

Properties
For the energy, the calculation gives -3.39 eV/atom. The mass density is 10.529 g/cm³.

Across the entries above, N(E_F) takes the values 3.15; 12.32; 10.47; 7.55; 3.88; 5.88; 6.71; 4.92; 4.68; 6.88; 3.23; 8.68 states/eV/f.u., respectively.
Across the entries above, energy relative to the elements takes the values -262; -207; -263; 609; -340; -393; -319; -39; -306; -263; -383; -162 meV/atom, respectively.